Y2TcPt: relaxed, PBEsol.

Calculated density in g cm⁻³: 8.7
Energy of formation in eV/atom: -0.07
Energy in eV per atom: -8.041
N(E_F) in states/eV per cell: 5.3
SG: P4mm

Cell and atoms, written as CIF:
```
data_Y2TcPt
_cell_length_a 3.3751
_cell_length_b 3.3751
_cell_length_c 7.8467
_cell_angle_alpha 90.00
_cell_angle_beta 90.00
_cell_angle_gamma 90.00
_symmetry_space_group_name_H-M 'P 1'
_symmetry_Int_Tables_number 1
loop_
_symmetry_equiv_pos_as_xyz
'x,y,z'
loop_
_atom_site_label
_atom_site_type_symbol
_atom_site_fract_x
_atom_site_fract_y
_atom_site_fract_z
_atom_site_occupancy
Pt1 Pt 0.0000 0.0000 0.5497 1
Tc1 Tc 0.5000 0.5000 0.6957 1
Y1 Y 0.0000 0.0000 0.9322 1
Y2 Y 0.5000 0.5000 0.3223 1
```

***

KBaPb2: relaxed, PBEsol.

Calculated density in g cm⁻³: 6.2
Energy of formation in eV/atom: -0.36
Energy in eV per atom: -3.185
N(E_F) in states/eV per cell: 2.1
SG: Amm2

Cell and atoms, written as CIF:
```
data_KBaPb2
_cell_length_a 4.7495
_cell_length_b 5.1965
_cell_length_c 6.9409
_cell_angle_alpha 112.01
_cell_angle_beta 90.00
_cell_angle_gamma 90.00
_symmetry_space_group_name_H-M 'P 1'
_symmetry_Int_Tables_number 1
loop_
_symmetry_equiv_pos_as_xyz
'x,y,z'
loop_
_atom_site_label
_atom_site_type_symbol
_atom_site_fract_x
_atom_site_fract_y
_atom_site_fract_z
_atom_site_occupancy
Ba1 Ba 0.0000 0.5146 0.4042 1
Pb1 Pb 0.0000 0.8010 0.9770 1
Pb2 Pb 0.5000 0.9500 0.2749 1
K1 K 0.5000 0.2344 0.8439 1
```

***

Al2SeCl: relaxed, PBEsol.

Calculated density in g cm⁻³: 3.3
Energy in eV per atom: -3.685
N(E_F) in states/eV per cell: 0.7
ΔE_f (raw) in meV/atom: -174
SG: I-4m2

Cell and atoms, written as CIF:
```
data_Al2SeCl
_cell_length_a 3.7561
_cell_length_b 3.7561
_cell_length_c 6.6124
_cell_angle_alpha 106.50
_cell_angle_beta 106.50
_cell_angle_gamma 90.00
_symmetry_space_group_name_H-M 'P 1'
_symmetry_Int_Tables_number 1
loop_
_symmetry_equiv_pos_as_xyz
'x,y,z'
loop_
_atom_site_label
_atom_site_type_symbol
_atom_site_fract_x
_atom_site_fract_y
_atom_site_fract_z
_atom_site_occupancy
Se1 Se 0.2500 0.7500 0.5000 1
Cl1 Cl 0.5000 0.5000 0.0000 1
Al1 Al 0.7500 0.2500 0.5000 1
Al2 Al 0.0000 0.0000 0.0000 1
```

***

TlSb3Os: relaxed, PBEsol.

Calculated density in g cm⁻³: 9.2
Energy in eV per atom: -5.126
N(E_F) in states/eV per cell: 3.8
ΔE_f (raw) in meV/atom: 577
SG: Pm-3m

Cell and atoms, written as CIF:
```
data_TlSb3Os
_cell_length_a 5.1648
_cell_length_b 5.1648
_cell_length_c 5.1648
_cell_angle_alpha 90.00
_cell_angle_beta 90.00
_cell_angle_gamma 90.00
_symmetry_space_group_name_H-M 'P 1'
_symmetry_Int_Tables_number 1
loop_
_symmetry_equiv_pos_as_xyz
'x,y,z'
loop_
_atom_site_label
_atom_site_type_symbol
_atom_site_fract_x
_atom_site_fract_y
_atom_site_fract_z
_atom_site_occupancy
Sb1 Sb 0.5000 0.0000 0.0000 1
Sb2 Sb 0.0000 0.0000 0.5000 1
Sb3 Sb 0.0000 0.5000 0.0000 1
Os1 Os 0.0000 0.0000 0.0000 1
Tl1 Tl 0.5000 0.5000 0.5000 1
```

***

ZrTa3Sb: relaxed, PBEsol.

Calculated density in g cm⁻³: 10.4
Energy in eV per atom: -8.719
N(E_F) in states/eV per cell: 4.9
ΔE_f (raw) in meV/atom: 1542
SG: Pm-3m

Cell and atoms, written as CIF:
```
data_ZrTa3Sb
_cell_length_a 4.9398
_cell_length_b 4.9398
_cell_length_c 4.9398
_cell_angle_alpha 90.00
_cell_angle_beta 90.00
_cell_angle_gamma 90.00
_symmetry_space_group_name_H-M 'P 1'
_symmetry_Int_Tables_number 1
loop_
_symmetry_equiv_pos_as_xyz
'x,y,z'
loop_
_atom_site_label
_atom_site_type_symbol
_atom_site_fract_x
_atom_site_fract_y
_atom_site_fract_z
_atom_site_occupancy
Ta1 Ta 0.0000 0.5000 0.0000 1
Ta2 Ta 0.5000 0.0000 0.0000 1
Ta3 Ta 0.0000 0.0000 0.5000 1
Zr1 Zr 0.5000 0.5000 0.5000 1
Sb1 Sb 0.0000 0.0000 0.0000 1
```

***

ReP: relaxed, PBEsol.

Calculated density in g cm⁻³: 14.2
Energy of formation in eV/atom: -0.21
Energy in eV per atom: -9.772
N(E_F) in states/eV per cell: 0.9
SG: Pm-3m

Cell and atoms, written as CIF:
```
data_ReP
_cell_length_a 2.9368
_cell_length_b 2.9368
_cell_length_c 2.9368
_cell_angle_alpha 90.00
_cell_angle_beta 90.00
_cell_angle_gamma 90.00
_symmetry_space_group_name_H-M 'P 1'
_symmetry_Int_Tables_number 1
loop_
_symmetry_equiv_pos_as_xyz
'x,y,z'
loop_
_atom_site_label
_atom_site_type_symbol
_atom_site_fract_x
_atom_site_fract_y
_atom_site_fract_z
_atom_site_occupancy
Re1 Re 0.5000 0.5000 0.5000 1
P1 P 0.0000 0.0000 0.0000 1
```

***

TlZnRu2: relaxed, PBEsol.

Calculated density in g cm⁻³: 12.7
Energy of formation in eV/atom: 0.51
Energy in eV per atom: -5.633
N(E_F) in states/eV per cell: 4.4
SG: R-3m

Cell and atoms, written as CIF:
```
data_TlZnRu2
_cell_length_a 2.9207
_cell_length_b 2.9207
_cell_length_c 8.5524
_cell_angle_alpha 80.17
_cell_angle_beta 80.17
_cell_angle_gamma 60.00
_symmetry_space_group_name_H-M 'P 1'
_symmetry_Int_Tables_number 1
loop_
_symmetry_equiv_pos_as_xyz
'x,y,z'
loop_
_atom_site_label
_atom_site_type_symbol
_atom_site_fract_x
_atom_site_fract_y
_atom_site_fract_z
_atom_site_occupancy
Ru1 Ru 0.7449 0.7449 0.7653 1
Ru2 Ru 0.2551 0.2551 0.2347 1
Zn1 Zn 0.0000 0.0000 0.0000 1
Tl1 Tl 0.5000 0.5000 0.5000 1
```

***

CoCuRe2: relaxed, PBEsol.

Calculated density in g cm⁻³: 16.3
Energy of formation in eV/atom: 0.15
Energy in eV per atom: -9.536
N(E_F) in states/eV per cell: 2.9
SG: Pm

Cell and atoms, written as CIF:
```
data_CoCuRe2
_cell_length_a 2.5831
_cell_length_b 4.0480
_cell_length_c 4.9257
_cell_angle_alpha 90.00
_cell_angle_beta 101.67
_cell_angle_gamma 90.00
_symmetry_space_group_name_H-M 'P 1'
_symmetry_Int_Tables_number 1
loop_
_symmetry_equiv_pos_as_xyz
'x,y,z'
loop_
_atom_site_label
_atom_site_type_symbol
_atom_site_fract_x
_atom_site_fract_y
_atom_site_fract_z
_atom_site_occupancy
Cu1 Cu 0.4283 0.5000 0.7500 1
Re1 Re 0.0000 0.0000 0.9754 1
Re2 Re 0.7537 0.5000 0.2750 1
Co1 Co 0.3180 0.0000 0.4996 1
```

***

Ba2SrAg: relaxed, PBEsol.

Calculated density in g cm⁻³: 3.9
Energy of formation in eV/atom: -0.02
Energy in eV per atom: -2.380
N(E_F) in states/eV per cell: 4.8
SG: R-3m

Cell and atoms, written as CIF:
```
data_Ba2SrAg
_cell_length_a 4.5471
_cell_length_b 4.5471
_cell_length_c 11.4115
_cell_angle_alpha 78.51
_cell_angle_beta 78.51
_cell_angle_gamma 60.00
_symmetry_space_group_name_H-M 'P 1'
_symmetry_Int_Tables_number 1
loop_
_symmetry_equiv_pos_as_xyz
'x,y,z'
loop_
_atom_site_label
_atom_site_type_symbol
_atom_site_fract_x
_atom_site_fract_y
_atom_site_fract_z
_atom_site_occupancy
Ag1 Ag 0.0000 0.0000 0.0000 1
Sr1 Sr 0.5000 0.5000 0.5000 1
Ba1 Ba 0.7248 0.7248 0.8256 1
Ba2 Ba 0.2752 0.2752 0.1744 1
```

***

Sb5Au: relaxed, PBEsol.

Calculated density in g cm⁻³: 9.0
Energy in eV per atom: -4.249
N(E_F) in states/eV per cell: 4.1
ΔE_f (raw) in meV/atom: 203
SG: P4/mmm

Cell and atoms, written as CIF:
```
data_Sb5Au
_cell_length_a 3.1537
_cell_length_b 3.1537
_cell_length_c 14.9355
_cell_angle_alpha 90.00
_cell_angle_beta 90.00
_cell_angle_gamma 90.00
_symmetry_space_group_name_H-M 'P 1'
_symmetry_Int_Tables_number 1
loop_
_symmetry_equiv_pos_as_xyz
'x,y,z'
loop_
_atom_site_label
_atom_site_type_symbol
_atom_site_fract_x
_atom_site_fract_y
_atom_site_fract_z
_atom_site_occupancy
Sb1 Sb 0.0000 0.0000 0.1389 1
Sb2 Sb 0.0000 0.0000 0.8611 1
Sb3 Sb 0.5000 0.5000 0.3220 1
Sb4 Sb 0.5000 0.5000 0.6780 1
Sb5 Sb 0.0000 0.0000 0.5000 1
Au1 Au 0.5000 0.5000 0.0000 1
```

***

Na3BW: relaxed, PBEsol.

Calculated density in g cm⁻³: 2.3
Energy of formation in eV/atom: 2.58
Energy in eV per atom: -2.422
N(E_F) in states/eV per cell: 4.4
SG: Pm-3m

Cell and atoms, written as CIF:
```
data_Na3BW
_cell_length_a 5.7594
_cell_length_b 5.7594
_cell_length_c 5.7594
_cell_angle_alpha 90.00
_cell_angle_beta 90.00
_cell_angle_gamma 90.00
_symmetry_space_group_name_H-M 'P 1'
_symmetry_Int_Tables_number 1
loop_
_symmetry_equiv_pos_as_xyz
'x,y,z'
loop_
_atom_site_label
_atom_site_type_symbol
_atom_site_fract_x
_atom_site_fract_y
_atom_site_fract_z
_atom_site_occupancy
Na1 Na 0.0000 0.0000 0.5000 1
Na2 Na 0.5000 0.0000 0.0000 1
Na3 Na 0.0000 0.5000 0.0000 1
B1 B 0.5000 0.5000 0.5000 1
W1 W 0.0000 0.0000 0.0000 1
```

***

InMoPt: relaxed, PBEsol.

Calculated density in g cm⁻³: 13.5
Energy of formation in eV/atom: -0.10
Energy in eV per atom: -7.336
N(E_F) in states/eV per cell: 3.6
SG: I4mm

Cell and atoms, written as CIF:
```
data_InMoPt
_cell_length_a 2.8806
_cell_length_b 2.8806
_cell_length_c 6.3534
_cell_angle_alpha 103.10
_cell_angle_beta 103.10
_cell_angle_gamma 90.00
_symmetry_space_group_name_H-M 'P 1'
_symmetry_Int_Tables_number 1
loop_
_symmetry_equiv_pos_as_xyz
'x,y,z'
loop_
_atom_site_label
_atom_site_type_symbol
_atom_site_fract_x
_atom_site_fract_y
_atom_site_fract_z
_atom_site_occupancy
Pt1 Pt 0.6775 0.6775 0.3551 1
In1 In 0.9997 0.9997 0.9994 1
Mo1 Mo 0.3228 0.3228 0.6456 1
```

***

> What is the calculated density in the eleventh record?

2.3 g cm⁻³

***

> N(E_F) of number 5 (ZrTa3Sb)?

4.9 states/eV per cell